1.
## Ca3TcH (meta-GGA SCAN)

Data for a crystal of Ca3TcH relaxed with PBEsol.

Results
space group = Pm-3m, No. 221
total magnetic moment = 0.910 μB/f.u.
crystal system = cubic
energy = -13.212 eV per atom

Unit cell a=4.658 b=4.658 c=4.658 alpha=90.00 beta=90.00 gamma=90.00
Element x y z (fractional)
H (0.000, 0.000, 0.000)
Ca (0.000, 0.500, 0.000)
Ca (0.000, 0.000, 0.500)
Ca (0.500, 0.000, 0.000)
Tc (0.500, 0.500, 0.500)

***

2.
## TiWSN2 (meta-GGA SCAN)

Data for a crystal of TiWSN2 relaxed with PBEsol.

Results
space group = P4/mmm, No. 123
total magnetic moment = 1.959 μB/f.u.
crystal system = tetragonal
formation energy from raw total energies = 3.73 eV/f.u.

Unit cell a=3.811 b=3.811 c=4.619 alpha=90.00 beta=90.00 gamma=90.00
Element x y z (fractional)
S (0.000, 0.000, 0.500)
N (0.000, 0.500, 0.000)
N (0.500, 0.000, 0.000)
W (0.500, 0.500, 0.500)
Ti (0.000, 0.000, 0.000)

***

3.
## MgSiSb2 (meta-GGA SCAN)

Data for a crystal of MgSiSb2 relaxed with PBEsol.

Results
space group = R3m, No. 160
total magnetic moment = 0.000 μB/f.u.
crystal system = trigonal
formation energy from raw total energies = 0.70 eV/f.u.

Unit cell a=3.868 b=3.868 c=7.757 alpha=75.56 beta=75.56 gamma=60.00
Element x y z (fractional)
Sb (0.998, 0.998, 0.005)
Sb (0.764, 0.764, 0.707)
Si (0.496, 0.496, 0.511)
Mg (0.241, 0.241, 0.277)